[1]
Here is crystalline Ca2MnCl at its relaxed geometry from Alexandria. Energies are from PBE.

Geometry as CIF:
```
data_Ca2MnCl
_symmetry_space_group_name_H-M 'P 1 2/m 1'
_symmetry_Int_Tables_number 10
_symmetry_space_group_name_Hall '-P 2y'
_cell_length_a 3.8260
_cell_length_b 3.5780
_cell_length_c 8.2824
_cell_angle_alpha 90.00
_cell_angle_beta 90.31
_cell_angle_gamma 90.00
loop_
_atom_site_label
_atom_site_type_symbol
_atom_site_fract_x
_atom_site_fract_y
_atom_site_fract_z
Ca1 Ca 0.0032 0.0000 0.2285
Mn1 Mn 0.5000 0.5000 0.0000
Cl1 Cl 0.0000 0.5000 0.5000
```

Its energy relative to the elements, uncorrected is -2.1 eV per formula unit. The value obtained for the energy is -17.1 eV per formula unit. As for the energy above the most stable polymorph in this dataset: 0 meV per atom. Its crystal system is monoclinic.

[2]
Here is crystalline KZnSb3 at its relaxed geometry from Alexandria. Energies are from PBE.

Geometry as CIF:
```
data_KZnSb3
_symmetry_space_group_name_H-M 'P m -3 m'
_symmetry_Int_Tables_number 221
_symmetry_space_group_name_Hall '-P 4 2 3'
_cell_length_a 5.8945
_cell_length_b 5.8945
_cell_length_c 5.8945
_cell_angle_alpha 90.00
_cell_angle_beta 90.00
_cell_angle_gamma 90.00
loop_
_atom_site_label
_atom_site_type_symbol
_atom_site_fract_x
_atom_site_fract_y
_atom_site_fract_z
K1 K 0.0000 0.0000 0.0000
Zn1 Zn 0.5000 0.5000 0.5000
Sb1 Sb 0.0000 0.0000 0.5000
```

Its energy relative to the elements, uncorrected is 6.5 eV per formula unit. The value obtained for the energy is -8.2 eV per formula unit. As for the energy above the most stable polymorph in this dataset: 1134 meV per atom. Its crystal system is cubic.

[3]
Here is crystalline CuPS2N at its relaxed geometry from Alexandria. Energies are from PBE.

Geometry as CIF:
```
data_CuPS2N
_symmetry_space_group_name_H-M 'P 4/m m m'
_symmetry_Int_Tables_number 123
_symmetry_space_group_name_Hall '-P 4 2'
_cell_length_a 4.3325
_cell_length_b 4.3325
_cell_length_c 3.7343
_cell_angle_alpha 90.00
_cell_angle_beta 90.00
_cell_angle_gamma 90.00
loop_
_atom_site_label
_atom_site_type_symbol
_atom_site_fract_x
_atom_site_fract_y
_atom_site_fract_z
Cu1 Cu 0.0000 0.0000 0.0000
P1 P 0.5000 0.5000 0.0000
S1 S 0.0000 0.5000 0.5000
N1 N 0.5000 0.5000 0.5000
```

Its energy relative to the elements, uncorrected is 5.7 eV per formula unit. The value obtained for the energy is -20.3 eV per formula unit. As for the energy above the most stable polymorph in this dataset: 497 meV per atom. Its crystal system is tetragonal.

[4]
Here is crystalline La3MgSb at its relaxed geometry from Alexandria. Energies are from PBE.

Geometry as CIF:
```
data_La3MgSb
_symmetry_space_group_name_H-M 'P m -3 m'
_symmetry_Int_Tables_number 221
_symmetry_space_group_name_Hall '-P 4 2 3'
_cell_length_a 6.0423
_cell_length_b 6.0423
_cell_length_c 6.0423
_cell_angle_alpha 90.00
_cell_angle_beta 90.00
_cell_angle_gamma 90.00
loop_
_atom_site_label
_atom_site_type_symbol
_atom_site_fract_x
_atom_site_fract_y
_atom_site_fract_z
La1 La 0.0000 0.0000 0.5000
Mg1 Mg 0.5000 0.5000 0.5000
Sb1 Sb 0.0000 0.0000 0.0000
```

Its energy relative to the elements, uncorrected is -0.3 eV per formula unit. The value obtained for the energy is -20.8 eV per formula unit. As for the energy above the most stable polymorph in this dataset: 0 meV per atom. Its crystal system is cubic.

[5]
Here is crystalline CdP2SN at its relaxed geometry from Alexandria. Energies are from PBE.

Geometry as CIF:
```
data_CdP2SN
_symmetry_space_group_name_H-M 'P 4/m m m'
_symmetry_Int_Tables_number 123
_symmetry_space_group_name_Hall '-P 4 2'
_cell_length_a 4.1510
_cell_length_b 4.1510
_cell_length_c 4.4219
_cell_angle_alpha 90.00
_cell_angle_beta 90.00
_cell_angle_gamma 90.00
loop_
_atom_site_label
_atom_site_type_symbol
_atom_site_fract_x
_atom_site_fract_y
_atom_site_fract_z
Cd1 Cd 0.0000 0.0000 0.0000
P1 P 0.0000 0.5000 0.5000
S1 S 0.5000 0.5000 0.0000
N1 N 0.5000 0.5000 0.5000
```

Its energy relative to the elements, uncorrected is 4.8 eV per formula unit. The value obtained for the energy is -19.4 eV per formula unit. As for the energy above the most stable polymorph in this dataset: 0 meV per atom. Its crystal system is tetragonal.

[6]
Here is crystalline Mg2OsRu at its relaxed geometry from Alexandria. Energies are from PBE.

Geometry as CIF:
```
data_Mg2OsRu
_symmetry_space_group_name_H-M 'C 1 2/m 1'
_symmetry_Int_Tables_number 12
_symmetry_space_group_name_Hall '-C 2y'
_cell_length_a 5.4836
_cell_length_b 8.8781
_cell_length_c 2.7463
_cell_angle_alpha 90.00
_cell_angle_beta 112.67
_cell_angle_gamma 90.00
loop_
_atom_site_label
_atom_site_type_symbol
_atom_site_fract_x
_atom_site_fract_y
_atom_site_fract_z
Mg1 Mg 0.2500 0.2500 0.0000
Os1 Os 0.0000 0.0000 0.5000
Ru1 Ru 0.0000 0.5000 0.5000
```

The value obtained for the energy is -22.8 eV per formula unit. As for the energy above the most stable polymorph in this dataset: 209 meV per atom. Its crystal system is monoclinic. As for the formation energy: 215 meV per atom.

Q: energy above the most stable polymorph in this dataset of number 6 (Mg2OsRu)?
A: 209 meV per atom